## Ta3I7 (GGA-PBEsol)

Data for a geometry-optimized Ta3I7 structure.

Output
- SG = Cmce, No. 64
- uncorrected formation energy (eV/atom) = -0.47

```
40
Lattice="7.461 -7.337 0.000 7.461 7.337 0.000 0.000 0.000 12.487" Properties=species:S:1:pos:R:3 pbc="T T T"
Ta 1.559 0.785 11.152
Ta 7.461 5.832 11.597
Ta 1.559 -0.785 1.335
Ta 5.903 0.785 7.578
Ta 7.461 1.505 5.354
Ta 5.903 -0.785 4.909
Ta 9.020 0.785 7.578
Ta 7.461 -1.505 7.133
Ta 9.020 -0.785 4.909
Ta 13.364 0.785 11.152
Ta 7.461 -5.832 0.890
Ta 13.364 -0.785 1.335
I 1.840 1.418 2.996
I 5.610 4.025 0.191
I 3.731 2.035 9.365
I 7.461 5.384 3.335
I 5.610 3.312 6.434
I 1.840 -1.418 9.491
I 3.587 0.000 6.243
I 3.874 0.000 0.000
I 5.621 1.418 3.247
I 9.312 4.025 0.191
I 7.461 1.954 9.578
I 3.731 -2.035 3.122
I 9.312 3.312 6.434
I 5.621 -1.418 9.240
I 9.301 1.418 3.247
I 5.610 -3.312 6.053
I 11.192 2.035 9.365
I 7.461 -1.954 2.909
I 5.610 -4.025 12.296
I 9.301 -1.418 9.240
I 11.048 0.000 0.000
I 11.335 0.000 6.243
I 13.082 1.418 2.996
I 9.312 -3.312 6.053
I 7.461 -5.384 9.152
I 11.192 -2.035 3.122
I 9.312 -4.025 12.296
I 13.082 -1.418 9.491
```